[1]
! ErZr2Sn (PBE, optimized geometry); values from VASP
! formation enthalpy at 0 K: -323 meV per atom
! offset from the most stable computed form: 134 meV/atom
&SYSTEM
  ibrav = 0, nat = 4, ntyp = 3
/
ATOMIC_SPECIES
Er 167.26 Er.upf
Zr 91.22 Zr.upf
Sn 118.71 Sn.upf
CELL_PARAMETERS angstrom
4.551 0.000 0.000
0.000 4.551 0.000
0.000 0.000 4.570
ATOMIC_POSITIONS angstrom
Er 0.000 0.000 0.000
Zr 0.000 2.275 2.285
Zr 2.275 0.000 2.285
Sn 2.275 2.275 0.000

---

[2]
! Pm5Pr12Cd2 (PBE, optimized geometry); values from VASP
! formation enthalpy at 0 K: 28 meV per atom
&SYSTEM
  ibrav = 0, nat = 19, ntyp = 3
/
ATOMIC_SPECIES
Pm 145.00 Pm.upf
Pr 140.91 Pr.upf
Cd 112.41 Cd.upf
CELL_PARAMETERS angstrom
7.952 -4.698 0.000
7.952 4.698 0.000
-0.559 0.000 8.728
ATOMIC_POSITIONS angstrom
Pm 0.000 0.000 0.000
Pm 3.653 0.000 0.641
Pm 4.532 0.000 4.161
Pm 10.813 0.000 4.567
Pm 11.692 0.000 8.088
Pr 5.494 2.961 2.304
Pr 1.023 0.000 3.338
Pr 5.472 1.829 7.161
Pr 9.851 2.961 6.424
Pr 9.873 1.829 1.567
Pr 6.948 0.000 1.474
Pr 8.397 0.000 7.255
Pr 5.472 -1.829 7.161
Pr 5.494 -2.961 2.304
Pr 9.873 -1.829 1.567
Pr 14.322 0.000 5.390
Pr 9.851 -2.961 6.424
Cd 7.672 1.571 4.364
Cd 7.672 -1.571 4.364

---

[3]
! ZrTiFe4 (PBE, optimized geometry); values from VASP
! formation enthalpy at 0 K: -284 meV per atom
! offset from the most stable computed form: 0 meV/atom
&SYSTEM
  ibrav = 0, nat = 6, ntyp = 3
/
ATOMIC_SPECIES
Zr 91.22 Zr.upf
Ti 47.87 Ti.upf
Fe 55.84 Fe.upf
CELL_PARAMETERS angstrom
0.000 3.454 3.454
3.454 0.000 3.454
3.454 3.454 0.000
ATOMIC_POSITIONS angstrom
Zr 0.000 0.000 0.000
Ti 5.181 5.181 5.181
Fe 2.594 2.594 2.594
Fe 4.314 4.314 2.594
Fe 4.314 2.594 4.314
Fe 2.594 4.314 4.314

---

[4]
! Y2Pu2Tl7 (PBE, optimized geometry); values from VASP
! formation enthalpy at 0 K: 141 meV per atom
&SYSTEM
  ibrav = 0, nat = 11, ntyp = 3
/
ATOMIC_SPECIES
Y 88.91 Y.upf
Pu 244.00 Pu.upf
Tl 204.38 Tl.upf
CELL_PARAMETERS angstrom
6.009 -3.329 0.000
6.009 3.329 0.000
-1.029 0.000 8.558
ATOMIC_POSITIONS angstrom
Y 6.009 1.671 0.000
Y 6.009 -1.671 0.000
Pu 2.314 0.000 4.273
Pu 8.675 0.000 4.284
Tl -0.595 0.000 5.881
Tl 2.914 1.644 1.514
Tl 8.075 1.644 7.044
Tl 5.494 0.000 4.279
Tl 2.914 -1.644 1.514
Tl 8.075 -1.644 7.044
Tl 11.584 0.000 2.677

---

[5]
! Ba2ZrAg (PBE, optimized geometry); values from VASP
! formation enthalpy at 0 K: 536 meV per atom
! offset from the most stable computed form: 310 meV/atom
&SYSTEM
  ibrav = 0, nat = 4, ntyp = 3
/
ATOMIC_SPECIES
Ba 137.33 Ba.upf
Zr 91.22 Zr.upf
Ag 107.87 Ag.upf
CELL_PARAMETERS angstrom
-2.490 2.490 5.658
2.490 -2.490 5.658
2.490 2.490 -5.658
ATOMIC_POSITIONS angstrom
Ba 0.000 0.000 0.000
Ba 0.000 2.490 2.829
Zr 2.490 0.000 2.829
Ag 0.000 0.000 5.658

---

[6]
! SrEu3Cu (PBE, optimized geometry); values from VASP
! formation enthalpy at 0 K: 4 meV per atom
&SYSTEM
  ibrav = 0, nat = 5, ntyp = 3
/
ATOMIC_SPECIES
Sr 87.62 Sr.upf
Eu 151.96 Eu.upf
Cu 63.55 Cu.upf
CELL_PARAMETERS angstrom
5.913 0.000 0.000
0.000 5.913 0.000
0.000 0.000 5.913
ATOMIC_POSITIONS angstrom
Sr 0.000 0.000 0.000
Eu 0.000 2.956 2.956
Eu 2.956 0.000 2.956
Eu 2.956 2.956 0.000
Cu 2.956 2.956 2.956

---

[7]
! AsRuW2 (PBE, optimized geometry); values from VASP
! formation enthalpy at 0 K: 262 meV per atom
&SYSTEM
  ibrav = 0, nat = 4, ntyp = 3
/
ATOMIC_SPECIES
As 74.92 As.upf
Ru 101.07 Ru.upf
W 183.84 W.upf
CELL_PARAMETERS angstrom
1.437 0.830 8.750
-1.437 0.830 8.750
0.000 -1.659 8.750
ATOMIC_POSITIONS angstrom
As 0.000 0.000 0.000
Ru 0.000 0.000 6.657
W 0.000 0.000 13.308
W 0.000 0.000 19.695

---

[8]
! TbPmCo3 (PBE, optimized geometry); values from VASP
! formation enthalpy at 0 K: -144 meV per atom
&SYSTEM
  ibrav = 0, nat = 10, ntyp = 3
/
ATOMIC_SPECIES
Tb 158.93 Tb.upf
Pm 145.00 Pm.upf
Co 58.93 Co.upf
CELL_PARAMETERS angstrom
2.081 -11.679 0.000
2.081 11.679 0.000
0.000 0.000 3.914
ATOMIC_POSITIONS angstrom
Tb 2.081 6.887 2.935
Tb 2.081 -6.887 0.978
Pm 2.081 10.025 0.978
Pm 2.081 -10.025 2.935
Co 2.081 3.938 2.935
Co 2.081 2.840 0.978
Co 2.081 0.563 0.978
Co 2.081 -0.563 2.935
Co 2.081 -2.840 2.935
Co 2.081 -3.938 0.978

---

[9]
! LiMg2Fe (PBE, optimized geometry); values from VASP
! formation enthalpy at 0 K: 216 meV per atom
&SYSTEM
  ibrav = 0, nat = 4, ntyp = 3
/
ATOMIC_SPECIES
Li 6.94 Li.upf
Mg 24.30 Mg.upf
Fe 55.84 Fe.upf
CELL_PARAMETERS angstrom
2.949 0.000 0.000
0.000 2.949 0.000
0.000 0.000 7.987
ATOMIC_POSITIONS angstrom
Li 0.000 0.000 0.000
Mg 0.000 0.000 4.534
Mg 1.474 1.474 2.096
Fe 1.474 1.474 6.319

---

[10]
! Te2POs (PBE, optimized geometry); values from VASP
! ΔE_f (raw): 644 meV/atom
! offset from the most stable computed form: 547 meV/atom
&SYSTEM
  ibrav = 0, nat = 4, ntyp = 3
/
ATOMIC_SPECIES
Te 127.60 Te.upf
P 30.97 P.upf
Os 190.23 Os.upf
CELL_PARAMETERS angstrom
1.983 1.145 7.941
-1.983 1.145 7.941
0.000 -2.290 7.941
ATOMIC_POSITIONS angstrom
Te 0.000 0.000 2.606
Te 0.000 0.000 21.217
P 0.000 0.000 0.000
Os 0.000 0.000 11.911

---

[11]
! AcPmAl2Ga2 (PBE, optimized geometry); values from VASP
! formation enthalpy at 0 K: -566 meV per atom
&SYSTEM
  ibrav = 0, nat = 6, ntyp = 4
/
ATOMIC_SPECIES
Ac 227.00 Ac.upf
Pm 145.00 Pm.upf
Al 26.98 Al.upf
Ga 69.72 Ga.upf
CELL_PARAMETERS angstrom
4.376 0.000 0.000
-2.188 3.790 0.000
0.000 0.000 8.987
ATOMIC_POSITIONS angstrom
Ac 0.000 0.000 0.000
Pm 0.000 0.000 4.494
Al 0.000 2.527 6.594
Al 2.188 1.263 2.394
Ga 0.000 2.527 2.428
Ga 2.188 1.263 6.560

---

[12]
! Y2Tl2I (PBE, optimized geometry); values from VASP
! ΔE_f (raw): -206 meV/atom
! offset from the most stable computed form: 262 meV/atom
&SYSTEM
  ibrav = 0, nat = 5, ntyp = 3
/
ATOMIC_SPECIES
Y 88.91 Y.upf
Tl 204.38 Tl.upf
I 126.90 I.upf
CELL_PARAMETERS angstrom
-2.168 2.168 8.261
2.168 -2.168 8.261
2.168 2.168 -8.261
ATOMIC_POSITIONS angstrom
Y 0.000 0.000 1.770
Y 0.000 0.000 14.752
Tl 2.168 0.000 4.131
Tl 0.000 2.168 4.131
I 0.000 0.000 8.261